Entry 1:
10
Lattice="-3.600 -0.076 -2.029 2.860 -3.686 -4.936 -1.719 -5.703 3.263" Properties=species:S:1:pos:R:3 comment="Zr2Al2Hg SCAN PBEsol geometry" delta_e_f_ev_per_atom=-0.49 sg="P4/mbm (127)" magnetic_moment_mub_per_cell=0.0 dos_ef_per_ev_fu=2.57 pbc="T T T"
Al -0.437 -6.322 1.013
Hg 0.000 0.000 0.000
Zr 0.009 -4.995 -4.037
Al 1.404 -6.801 -2.235
Zr -2.467 -4.471 0.335
Al 1.579 -3.068 -2.686
Al -0.262 -2.589 0.562
Zr -1.318 -7.245 -1.600
Zr -1.141 -2.221 -2.102
Hg 0.571 -4.695 -0.836

Entry 2:
4
Lattice="3.234 0.000 0.000 0.000 4.983 0.000 -1.617 -2.492 4.934" Properties=species:S:1:pos:R:3 comment="Zr2AlHg SCAN PBEsol geometry" delta_e_f_ev_per_atom=-0.37 sg="Imm2 (44)" magnetic_moment_mub_per_cell=0.0 dos_ef_per_ev_fu=2.23 pbc="T T T"
Zr 1.617 2.492 2.540
Zr 1.617 0.000 4.879
Al 1.617 0.000 0.141
Hg 0.000 0.000 2.308

Entry 3:
4
Lattice="3.075 0.000 0.000 1.538 2.663 0.000 1.538 0.888 9.920" Properties=species:S:1:pos:R:3 comment="Zr2AlHg SCAN PBEsol geometry" delta_e_f_ev_per_atom=-0.18 sg="R-3m (166)" magnetic_moment_mub_per_cell=0.0 dos_ef_per_ev_fu=3.29 pbc="T T T"
Hg 0.000 0.000 0.000
Zr 4.613 2.663 7.390
Al 3.075 1.776 4.960
Zr 1.538 0.888 2.530

Entry 4:
4
Lattice="3.109 0.000 0.000 0.000 4.224 0.000 0.000 0.000 5.945" Properties=species:S:1:pos:R:3 comment="Zr2AlHg SCAN PBEsol geometry" delta_e_f_ev_per_atom=-0.44 sg="Pmmm (47)" magnetic_moment_mub_per_cell=0.0 dos_ef_per_ev_fu=2.38 pbc="T T T"
Al 1.555 2.112 0.000
Zr 0.000 0.000 4.496
Zr 0.000 0.000 1.449
Hg 1.555 2.112 2.973

Entry 5:
4
Lattice="-2.933 0.766 -3.766 -1.037 -3.620 -3.031 -4.435 -1.923 -0.040" Properties=species:S:1:pos:R:3 comment="Zr2AlHg SCAN PBEsol geometry" delta_e_f_ev_per_atom=-0.31 sg="Fm-3m (225)" magnetic_moment_mub_per_cell=0.0 dos_ef_per_ev_fu=3.65 pbc="T T T"
Al 0.000 0.000 0.000
Zr -6.304 -3.583 -5.127
Zr -2.101 -1.194 -1.709
Hg -4.202 -2.389 -3.418

Entry 6:
16
Lattice="-1.300 5.085 -1.697 0.384 -1.729 -5.475 -10.918 -2.756 0.105" Properties=species:S:1:pos:R:3 comment="HoAl SCAN PBEsol geometry" delta_e_f_ev_per_atom=-0.45 sg="Pbcm (57)" magnetic_moment_mub_per_cell=0.0 dos_ef_per_ev_fu=1.31 pbc="T T T"
Al -2.703 -0.807 -0.347
Al -10.580 0.185 -4.789
Al -1.254 0.415 -2.279
Ho -8.119 1.277 -3.401
Ho -5.888 -0.426 -1.250
Ho -2.585 2.315 -4.532
Ho -5.946 1.027 -5.817
Ho -9.249 -1.715 -2.535
Al -8.481 -1.136 -5.872
Al -6.590 -1.514 -3.972
Ho -0.169 -0.222 -5.018
Al -5.244 2.115 -3.095
Al -7.831 -3.678 -5.023
Ho -3.715 -0.677 -3.666
Ho -11.665 0.822 -2.049
Al -3.353 1.736 -1.195

Entry 7:
6
Lattice="5.492 0.000 0.000 2.746 4.756 0.000 2.746 1.585 4.484" Properties=species:S:1:pos:R:3 comment="HoAl2 SCAN PBEsol geometry" delta_e_f_ev_per_atom=-0.54 sg="Fd-3m (227)" magnetic_moment_mub_per_cell=0.1 dos_ef_per_ev_fu=2.34 pbc="T T T"
Al 4.119 0.793 0.561
Ho 8.238 4.756 3.363
Al 1.373 0.793 0.561
Al 2.746 1.585 2.803
Al 2.746 3.171 0.561
Ho 5.492 3.171 2.242

Entry 8:
4
Lattice="5.063 0.000 0.000 2.532 4.385 0.000 2.532 1.462 4.134" Properties=species:S:1:pos:R:3 comment="LiHo2Al SCAN PBEsol geometry" delta_e_f_ev_per_atom=-0.22 sg="Fm-3m (225)" magnetic_moment_mub_per_cell=0.0 dos_ef_per_ev_fu=3.10 pbc="T T T"
Al 0.000 0.000 0.000
Li 5.063 2.923 2.067
Ho 7.595 4.385 3.101
Ho 2.532 1.462 1.034

- What is the formula in the eighth record?
  LiHo2Al